This record from Alexandria describes Tb2PrHo8 after structural relaxation. The functional is PBE.

abc: 9.362 9.362 9.362
angles: 145.97 128.73 62.97
Fractional coordinates of all 11 atoms:
Tb: 0.200 0.200 0.000
Tb: 0.800 0.800 0.000
Pr: 0.500 0.500 0.000
Ho: 0.066 0.360 0.707
Ho: 0.205 0.000 0.205
Ho: 0.337 0.837 0.500
Ho: 0.347 0.640 0.707
Ho: 0.653 0.360 0.293
Ho: 0.663 0.163 0.500
Ho: 0.795 0.000 0.795
Ho: 0.934 0.640 0.293

Computed properties:
* total moment: 0.000 μB per atom
* DFT formation energy: 0.1146 eV/atom
* DFT total energy: -4.491 eV/atom